Entry 1:
Compound: Dy5Tl2Cd2
Source: Alexandria
Functional: PBE-GGA
Structure: relaxed

```
Dy5Tl2Cd2
1.0
-2.6616 -5.5096 -4.9555
-3.9665 -3.5476 6.0747
-4.5485 6.3575 -4.6253
Dy Tl Cd
10 4 4
Cartesian
0.0000 0.0000 0.0000
-3.3140 -4.5286 0.5596
-6.7228 -5.7253 -0.3812
-3.5115 -0.8012 0.6236
-5.9094 -3.4332 2.8890
-4.3250 -3.0932 -2.6466
-4.4538 3.0256 -3.1250
-7.6650 -1.8985 -4.1298
-5.2672 0.7335 -6.3952
-6.8516 0.3936 -0.8596
-5.1236 -6.5497 2.1689
-1.5045 -2.5075 -1.0498
-2.8418 -2.9443 3.1901
-3.7863 -6.1129 -2.0710
-2.7731 1.9460 -0.6742
-6.0871 -2.5826 -0.1146
-5.7419 0.8639 2.1235
-5.0895 -0.1171 -3.3916
```

## Properties
space-group type: Cmce, No. 64
calculated density: 9.3 Mg/m³
density of states at the Fermi level: 14.65 states/eV per cell
final energy: -63.456 eV for the cell shown

***

Entry 2:
Compound: LiNdPb
Source: Alexandria
Functional: PBE-GGA
Structure: relaxed

```
LiNdPb
1.0
-3.7629 2.1409 -1.6667
0.3235 -2.4754 -3.9100
-4.2386 -5.1733 2.9245
Li Nd Pb
2 2 2
Cartesian
-3.8390 -2.7539 -1.3261
-2.1193 -2.5867 1.4623
-3.2981 -5.4605 0.4322
-2.6602 0.1199 -0.2960
-0.9653 -2.6133 -1.1774
-4.9930 -2.7273 1.3136
```

## Properties
space-group type: P4/nmm, No. 129
calculated density: 7.6 Mg/m³
density of states at the Fermi level: 2.03 states/eV per cell
final energy: -23.814 eV for the cell shown